Pm2ScNi9 | the Alexandria database | GGA-PBE | optimized geometry; ΔE_f = -0.33 eV/atom; mass density = 8.3 g/cm3; size of the total moment = 1.0 μB/f.u.; space group = No. 166
1.0
-4.132 1.872 -1.933
-1.227 -1.029 -4.664
-5.981 -6.332 0.365
Ni Pm Sc
9 2 1
Cartesian
-9.550 -5.764 -4.036
-3.680 -1.154 -2.689
-5.744 -0.219 -3.654
-1.791 0.274 -2.196
-5.670 -2.745 -3.116
-4.293 -1.669 -5.018
-5.597 -5.270 -2.578
-7.048 -3.821 -1.214
-7.661 -4.335 -3.543
-4.260 -3.618 -0.687
-7.081 -1.872 -5.545
0.000 0.000 0.000

---

PmScNi | the Alexandria database | GGA-PBE | optimized geometry; ΔE_f = -0.10 eV/atom; mass density = 5.8 g/cm3; size of the total moment = 0.0 μB/f.u.; space group = No. 216
1.0
-1.253 -2.635 -3.638
1.561 -4.380 -0.354
-2.930 -3.576 0.610
Pm Sc Ni
1 1 1
Cartesian
0.000 0.000 0.000
-1.311 -5.296 -1.691
-0.655 -2.648 -0.845

---

PmSc3Ni | the Alexandria database | GGA-PBE | optimized geometry; ΔE_f = -0.11 eV/atom; mass density = 4.5 g/cm3; size of the total moment = 0.0 μB/f.u.; space group = No. 221
1.0
4.997 0.000 0.000
0.000 4.997 0.000
0.000 0.000 4.997
Sc Ni Pm
3 1 1
Cartesian
0.000 2.498 0.000
2.498 0.000 0.000
0.000 0.000 2.498
0.000 0.000 0.000
2.498 2.498 2.498

---

PmScNi4 | the Alexandria database | GGA-PBE | optimized geometry; ΔE_f = -0.41 eV/atom; mass density = 7.9 g/cm3; size of the total moment = 0.0 μB/f.u.; space group = No. 216
1.0
-1.076 -3.258 -3.670
1.739 -4.707 0.230
-3.162 -3.806 0.867
Ni Pm Sc
4 1 1
Cartesian
-1.565 -7.369 -1.610
-2.441 -4.996 -1.726
-1.022 -5.727 0.240
0.029 -5.450 -2.047
-0.625 -2.943 -0.643
0.000 0.000 0.000

---

Pm3ScNi8 | the Alexandria database | GGA-PBE | optimized geometry; ΔE_f = -0.38 eV/atom; mass density = 8.5 g/cm3; size of the total moment = 0.0 μB/f.u.; space group = No. 160
1.0
4.864 0.000 1.468
2.210 4.333 1.468
-0.013 -0.008 8.832
Pm Ni Sc
3 8 1
Cartesian
2.650 1.623 8.801
3.547 2.173 5.829
7.053 4.320 3.007
5.511 1.886 3.721
3.079 1.886 2.987
1.325 0.812 4.401
5.532 1.913 8.044
4.218 4.059 8.044
4.852 2.972 10.297
6.627 4.059 8.771
4.184 4.052 3.721
6.173 3.781 5.920

---

PmScNi | the Alexandria database | GGA-PBE | optimized geometry; ΔE_f = -0.21 eV/atom; mass density = 6.2 g/cm3; size of the total moment = 0.0 μB/f.u.; space group = No. 107
1.0
-0.394 3.124 1.098
-0.557 -1.152 3.079
6.344 -0.662 -0.905
Ni Sc Pm
1 1 1
Cartesian
1.691 1.105 2.525
3.427 0.189 0.691
0.275 0.015 0.056

---

> What is the formula in the second record?

PmScNi

---

Repeat the sixth record exactly.
PmScNi | the Alexandria database | GGA-PBE | optimized geometry; ΔE_f = -0.21 eV/atom; mass density = 6.2 g/cm3; size of the total moment = 0.0 μB/f.u.; space group = No. 107
1.0
-0.394 3.124 1.098
-0.557 -1.152 3.079
6.344 -0.662 -0.905
Ni Sc Pm
1 1 1
Cartesian
1.691 1.105 2.525
3.427 0.189 0.691
0.275 0.015 0.056